No. 1
MgAs2Rh: PBEsol geometry, SCAN.

Unit cell a=5.8352 b=5.8352 c=6.8752 alpha=115.11 beta=115.11 gamma=90.00
Closest atoms and distances in Å follow each position.
Fractional positions:
As 0.3296 0.8750 0.2500  2 Rh 2.33
As 0.9204 0.3750 0.2500  2 Rh 2.33
As 0.1250 0.0796 0.7500  2 Rh 2.33
As 0.6250 0.6704 0.7500  2 Rh 2.33
Rh 0.2500 0.7500 0.5000  4 As 2.33
Rh 0.0000 0.0000 0.0000  4 As 2.33
Mg 0.7500 0.2500 0.5000  4 As 2.64
Mg 0.5000 0.5000 0.0000  4 As 2.64

Calculated values
SG = I-42d, No. 122
Energy of formation = -0.229 eV per atom


No. 2
Mg2AsRh2: PBEsol geometry, SCAN.

Unit cell a=4.2053 b=6.2533 c=6.2533 alpha=90.00 beta=90.00 gamma=90.00
Closest atoms and distances in Å follow each position.
Fractional positions:
As 0.0000 0.0000 0.0000  4 Rh 2.37
As 0.0000 0.5000 0.5000  4 Rh 2.37
Rh 0.0000 0.3472 0.8472  2 As 2.37
Rh 0.0000 0.8472 0.6528  2 As 2.37
Rh 0.0000 0.6528 0.1528  2 As 2.37
Rh 0.0000 0.1528 0.3472  2 As 2.37
Mg 0.5000 0.1605 0.6605  6 Rh 2.67-2.87, 1 Mg 2.84
Mg 0.5000 0.6605 0.8395  6 Rh 2.67-2.87, 1 Mg 2.84
Mg 0.5000 0.8395 0.3395  6 Rh 2.67-2.87, 1 Mg 2.84
Mg 0.5000 0.3395 0.1605  6 Rh 2.67-2.87, 1 Mg 2.84

Calculated values
SG = P4/mbm, No. 127
Energy of formation = -0.617 eV per atom


No. 3
MgAsRh2: PBEsol geometry, SCAN.

Unit cell a=2.9322 b=4.4330 c=4.8500 alpha=90.00 beta=107.60 gamma=90.00
Closest atoms and distances in Å follow each position.
Fractional positions:
As 0.3369 0.0000 0.6737  5 Rh 2.38-2.56
Mg 0.6943 0.5000 0.3887  3 Rh 2.44-2.63
Rh 0.0638 0.0000 0.1276  3 As 2.52-2.56
Rh 0.4301 0.5000 0.8602  2 As 2.38, 3 Mg 2.44-2.63

Calculated values
SG = Amm2, No. 38
Energy of formation = -0.468 eV per atom


No. 4
MgAs2Rh: PBEsol geometry, SCAN.

Unit cell a=3.0556 b=3.7889 c=6.5320 alpha=106.86 beta=103.53 gamma=90.00
Closest atoms and distances in Å follow each position.
Fractional positions:
As 0.9452 0.9452 0.8904  2 Rh 2.48, 4 Mg 2.76
As 0.7186 0.2186 0.4372  4 Rh 2.56, 2 Mg 2.76
Mg 0.5525 0.5525 0.1049  6 As 2.76, 2 Mg 3.06
Rh 0.2837 0.7837 0.5675  6 As 2.48-2.56

Calculated values
SG = Imm2, No. 44
Energy of formation = -0.363 eV per atom